[1]
Density functional theory data (PBE) for an optimized crystal structure of TlPdAu3Se4.

abc: 6.230 6.230 6.230
angles: 90.00 90.00 90.00
Positions (direct):
Tl 0.000 0.000 0.000
Pd 0.500 0.500 0.500
Au 0.000 0.500 0.500
Au 0.500 0.000 0.500
Au 0.500 0.500 0.000
Se 0.263 0.263 0.263
Se 0.263 0.737 0.737
Se 0.737 0.263 0.737
Se 0.737 0.737 0.263

DFT total energy = -3.4635 eV per atom

***

[2]
Density functional theory data (PBE) for an optimized crystal structure of PrAl8Fe2.

abc: 12.489 14.454 4.012
angles: 90.00 90.00 90.00
Positions (direct):
Pr 0.161 0.182 0.000
Pr 0.339 0.682 0.000
Pr 0.661 0.318 0.000
Pr 0.839 0.818 0.000
Al 0.000 0.000 0.000
Al 0.000 0.500 0.500
Al 0.027 0.868 0.500
Al 0.047 0.322 0.500
Al 0.094 0.747 0.000
Al 0.158 0.620 0.500
Al 0.162 0.454 0.000
Al 0.168 0.007 0.500
Al 0.235 0.830 0.500
Al 0.265 0.330 0.500
Al 0.332 0.507 0.500
Al 0.338 0.954 0.000
Al 0.342 0.120 0.500
Al 0.406 0.247 0.000
Al 0.453 0.822 0.500
Al 0.473 0.368 0.500
Al 0.500 0.000 0.500
Al 0.500 0.500 0.000
Al 0.527 0.632 0.500
Al 0.547 0.178 0.500
Al 0.594 0.753 0.000
Al 0.658 0.880 0.500
Al 0.662 0.046 0.000
Al 0.668 0.493 0.500
Al 0.735 0.670 0.500
Al 0.765 0.170 0.500
Al 0.832 0.993 0.500
Al 0.838 0.546 0.000
Al 0.842 0.380 0.500
Al 0.906 0.253 0.000
Al 0.953 0.678 0.500
Al 0.973 0.132 0.500
Fe 0.035 0.593 0.000
Fe 0.150 0.902 0.000
Fe 0.350 0.402 0.000
Fe 0.465 0.093 0.000
Fe 0.535 0.907 0.000
Fe 0.650 0.598 0.000
Fe 0.850 0.098 0.000
Fe 0.965 0.407 0.000

DFT total energy = -5.0691 eV per atom
Magnetic moment = 0.1 μB/cell

***

[3]
Density functional theory data (PBE) for an optimized crystal structure of CsTmO3.

abc: 4.441 4.441 4.453
angles: 90.00 90.00 90.00
Positions (direct):
Cs 0.000 0.000 0.000
Tm 0.500 0.500 0.498
O 0.000 0.500 0.498
O 0.500 0.000 0.498
O 0.500 0.500 0.998

DFT total energy = -5.9278 eV per atom
Magnetic moment = 2.0 μB/cell

***

[4]
Density functional theory data (PBE) for an optimized crystal structure of Cd2P2Se7.

abc: 6.526 6.526 8.685
angles: 101.86 101.86 56.77
Positions (direct):
Cd 0.201 0.201 0.171
Cd 0.799 0.799 0.829
P 0.102 0.078 0.706
P 0.922 0.898 0.294
Se 0.221 0.712 0.758
Se 0.288 0.779 0.242
Se 0.400 0.101 0.644
Se 0.629 0.119 0.104
Se 0.782 0.218 0.500
Se 0.881 0.371 0.896
Se 0.899 0.600 0.356

DFT total energy = -3.6034 eV per atom

***

[5]
Density functional theory data (PBE) for an optimized crystal structure of PaSiAu.

abc: 4.234 4.234 3.989
angles: 90.00 90.00 120.00
Positions (direct):
Pa 0.000 0.000 0.000
Si 0.333 0.667 0.501
Au 0.667 0.333 0.499

DFT total energy = -6.5566 eV per atom
Magnetic moment = 0.0 μB/cell

***

[6]
Density functional theory data (PBE) for an optimized crystal structure of CoNiMoAs.

abc: 4.183 4.183 4.183
angles: 60.00 60.00 60.00
Positions (direct):
Co 0.000 0.000 0.000
Ni 0.250 0.250 0.250
Mo 0.500 0.500 0.500
As 0.750 0.750 0.750

Magnetic moment = 0.8 μB/cell
Energy above the lowest structure with this stoichiometry = 0 meV per atom

***

[7]
Density functional theory data (PBE) for an optimized crystal structure of Er2Se3O9.

abc: 6.936 7.893 8.827
angles: 71.90 70.60 66.04
Positions (direct):
Er 0.170 0.269 0.411
Er 0.245 0.734 0.795
Er 0.755 0.266 0.205
Er 0.830 0.731 0.589
Se 0.071 0.222 0.807
Se 0.357 0.241 0.033
Se 0.385 0.751 0.407
Se 0.615 0.249 0.593
Se 0.643 0.759 0.967
Se 0.929 0.778 0.193
O 0.019 0.591 0.349
O 0.091 0.287 0.146
O 0.146 0.054 0.689
O 0.150 0.752 0.561
O 0.159 0.797 0.050
O 0.338 0.426 0.871
O 0.352 0.984 0.334
O 0.431 0.311 0.167
O 0.462 0.305 0.450
O 0.538 0.695 0.550
O 0.569 0.689 0.833
O 0.648 0.016 0.666
O 0.662 0.574 0.129
O 0.841 0.203 0.950
O 0.850 0.248 0.439
O 0.854 0.946 0.311
O 0.909 0.713 0.854
O 0.981 0.409 0.651

DFT total energy = -6.4773 eV per atom
Magnetic moment = 0.0 μB/cell

***

[8]
Density functional theory data (PBE) for an optimized crystal structure of Zr4Si4Ag.

abc: 5.315 5.315 8.897
angles: 109.19 109.19 42.75
Positions (direct):
Zr 0.106 0.106 0.384
Zr 0.246 0.246 0.837
Zr 0.754 0.754 0.163
Zr 0.894 0.894 0.616
Si 0.383 0.383 0.389
Si 0.458 0.458 0.161
Si 0.542 0.542 0.839
Si 0.617 0.617 0.611
Ag 0.000 0.000 0.000

DFT total energy = -7.2960 eV per atom
Magnetic moment = 0.0 μB/cell

***

[9]
Density functional theory data (PBE) for an optimized crystal structure of LiMgAl2Cu2Pd2.

abc: 4.289 4.289 6.045
angles: 90.00 90.00 90.00
Positions (direct):
Li 0.000 0.000 0.000
Mg 0.500 0.500 0.500
Al 0.000 0.000 0.500
Al 0.500 0.500 0.000
Cu 0.000 0.500 0.760
Cu 0.500 0.000 0.240
Pd 0.000 0.500 0.242
Pd 0.500 0.000 0.758

DFT total energy = -4.1070 eV per atom

***

[10]
Density functional theory data (PBE) for an optimized crystal structure of NdBeIn.

abc: 4.624 4.624 4.624
angles: 60.00 60.00 60.00
Positions (direct):
Nd 0.000 0.000 0.000
Be 0.750 0.750 0.750
In 0.500 0.500 0.500

Magnetic moment = 0.0 μB/cell
Energy above the lowest structure with this stoichiometry = 0 meV per atom

***

[11]
Density functional theory data (PBE) for an optimized crystal structure of RbHf2C.

abc: 6.009 6.009 3.091
angles: 104.31 104.31 60.79
Positions (direct):
Rb 0.000 0.000 0.000
Hf 0.342 0.342 0.349
Hf 0.658 0.658 0.651
C 0.500 0.500 0.000

DFT total energy = -7.1103 eV per atom
Magnetic moment = 0.0 μB/cell

***

[12]
Density functional theory data (PBE) for an optimized crystal structure of TaCdCuPb.

abc: 4.854 4.854 4.854
angles: 60.00 60.00 60.00
Positions (direct):
Ta 0.000 0.000 0.000
Cd 0.250 0.250 0.250
Cu 0.750 0.750 0.750
Pb 0.500 0.500 0.500

Magnetic moment = 1.6 μB/cell
Energy above the lowest structure with this stoichiometry = 101 meV per atom

***

[13]
Density functional theory data (PBE) for an optimized crystal structure of Na2NpS3.

abc: 7.133 7.133 4.087
angles: 90.00 90.00 134.78
Positions (direct):
Na 0.151 0.849 0.000
Na 0.849 0.151 0.000
Np 0.500 0.500 0.500
S 0.000 0.000 0.500
S 0.367 0.633 0.000
S 0.633 0.367 0.000

Magnetic moment = 3.0 μB/cell
Energy above the lowest structure with this stoichiometry = 0 meV per atom

***

[14]
Density functional theory data (PBE) for an optimized crystal structure of RbIr2S4.

abc: 7.656 7.656 7.656
angles: 60.00 60.00 60.00
Positions (direct):
Rb 0.125 0.125 0.125
Rb 0.875 0.875 0.875
Ir 0.000 0.500 0.500
Ir 0.500 0.000 0.500
Ir 0.500 0.500 0.000
Ir 0.500 0.500 0.500
S 0.279 0.279 0.279
S 0.279 0.279 0.662
S 0.279 0.662 0.279
S 0.338 0.721 0.721
S 0.662 0.279 0.279
S 0.721 0.338 0.721
S 0.721 0.721 0.338
S 0.721 0.721 0.721

DFT total energy = -5.3529 eV per atom
Magnetic moment = 2.0 μB/cell

***

[15]
Density functional theory data (PBE) for an optimized crystal structure of DyGaAsO.

abc: 4.320 4.320 9.490
angles: 90.00 90.00 90.00
Positions (direct):
Dy 0.250 0.750 0.000
Dy 0.750 0.250 0.000
Ga 0.250 0.250 0.451
Ga 0.750 0.750 0.549
As 0.250 0.250 0.189
As 0.750 0.750 0.811
O 0.250 0.750 0.500
O 0.750 0.250 0.500

Magnetic moment = 0.0 μB/cell
Energy above the lowest structure with this stoichiometry = 954 meV per atom

***

[16]
Density functional theory data (PBE) for an optimized crystal structure of TbBePO.

abc: 3.757 3.757 8.388
angles: 90.00 90.00 90.00
Positions (direct):
Tb 0.250 0.250 0.141
Tb 0.750 0.750 0.859
Be 0.250 0.750 0.500
Be 0.750 0.250 0.500
P 0.250 0.250 0.648
P 0.750 0.750 0.352
O 0.250 0.750 0.000
O 0.750 0.250 0.000

Magnetic moment = 0.0 μB/cell
Energy above the lowest structure with this stoichiometry = 0 meV per atom

***

[17]
Density functional theory data (PBE) for an optimized crystal structure of YErGa2Co4.

abc: 4.124 4.124 9.027
angles: 90.00 90.00 120.00
Positions (direct):
Y 0.000 0.000 0.000
Er 0.667 0.333 0.500
Ga 0.333 0.667 0.251
Ga 0.333 0.667 0.749
Co 0.000 0.000 0.299
Co 0.000 0.000 0.701
Co 0.667 0.333 0.209
Co 0.667 0.333 0.791

DFT total energy = -5.9781 eV per atom
Magnetic moment = 1.6 μB/cell

***

[18]
Density functional theory data (PBE) for an optimized crystal structure of Li4CdPt2Pb.

abc: 4.548 4.548 6.320
angles: 90.00 90.00 90.00
Positions (direct):
Li 0.000 0.000 0.000
Li 0.000 0.500 0.732
Li 0.500 0.000 0.268
Li 0.500 0.500 0.500
Cd 0.000 0.000 0.500
Pt 0.000 0.500 0.251
Pt 0.500 0.000 0.749
Pb 0.500 0.500 0.000

DFT total energy = -3.5043 eV per atom
Magnetic moment = 0.0 μB/cell

***

[19]
Density functional theory data (PBE) for an optimized crystal structure of DyCuHg.

abc: 4.591 4.591 4.591
angles: 60.00 60.00 60.00
Positions (direct):
Dy 0.000 0.000 0.000
Cu 0.250 0.250 0.250
Hg 0.500 0.500 0.500

DFT total energy = -3.0769 eV per atom
Magnetic moment = 0.2 μB/cell

***

[20]
Density functional theory data (PBE) for an optimized crystal structure of GdTaNi.

abc: 4.501 4.501 4.501
angles: 60.00 60.00 60.00
Positions (direct):
Gd 0.000 0.000 0.000
Ta 0.250 0.250 0.250
Ni 0.750 0.750 0.750

Magnetic moment = 0.2 μB/cell
Energy above the lowest structure with this stoichiometry = 991 meV per atom